[1]
This record from Alexandria describes an optimized crystal structure of Co2CuAg. The functional is PBE.

Calculated values
Relative energy among the computed polymorphs in eV/atom: 0.039
Fermi-level density of states in states/eV/f.u.: 3.06
Volume in Å³/cell: 52.2
Total energy in eV/atom: -5.053
Energy relative to the elements in eV per atom: 0.237

Unit cell a=8.7903 b=8.7903 c=8.7903 alpha=17.26 beta=17.26 gamma=17.26
Last column: magnetic moment on the atom in μB.
Sites, in units of the cell vectors:
Ag  0.7494  0.7494  0.7494  -0.03
Co  0.9916  0.9916  0.9916  1.64
Co  0.2525  0.2525  0.2525  1.60
Cu  0.5065  0.5065  0.5065  -0.02


[2]
This record from Alexandria describes an optimized crystal structure of CoCuAg2. The functional is PBE.

Calculated values
Relative energy among the computed polymorphs in eV/atom: 0.158
Fermi-level density of states in states/eV/f.u.: 4.17
Volume in Å³/cell: 60.6
Total energy in eV/atom: -3.828
Energy relative to the elements in eV per atom: 0.398

Unit cell a=5.3532 b=5.3532 c=5.3532 alpha=149.64 beta=127.94 gamma=61.46
Last column: magnetic moment on the atom in μB.
Sites, in units of the cell vectors:
Ag  0.0020  0.0020  0.0000  -0.01
Ag  0.4980  0.4980  0.0000  -0.01
Co  0.7500  0.2500  0.5000  1.74
Cu  0.2500  0.7500  0.5000  0.02


[3]
This record from Alexandria describes an optimized crystal structure of CoCu4Ag. The functional is PBE.

Calculated values
Fermi-level density of states in states/eV/f.u.: 8.75
Volume in Å³/cell: 79.1
Total energy in eV/atom: -4.128
Energy relative to the elements in eV per atom: 0.262

Unit cell a=4.8182 b=4.8182 c=4.8182 alpha=60.00 beta=60.00 gamma=60.00
Last column: magnetic moment on the atom in μB.
Sites, in units of the cell vectors:
Co  0.0000  0.0000  0.0000  1.74
Cu  0.8762  0.3746  0.3746  0.01
Cu  0.3746  0.3746  0.8762  0.01
Cu  0.3746  0.8762  0.3746  0.01
Cu  0.3746  0.3746  0.3746  0.01
Ag  0.7500  0.7500  0.7500  0.01


Q: Among the records above, which one has the highest Fermi-level density of states?
A: CoCu4Ag